[1]
7
Lattice="5.240 -1.975 0.000 5.240 1.975 0.000 -4.336 0.000 5.180" Properties=species:S:1:pos:R:3 comment="HoTmCo2Si2B, relaxed, DFT PBE" sg=Cm pbc="T T T"
Ho 0.000 0.000 0.000
Tm -1.477 0.000 3.369
Co 1.541 0.000 2.614
Co 7.470 0.000 0.769
Si 3.314 0.000 1.136
Si 5.687 0.000 2.242
B 2.350 0.000 4.276

=====

[2]
12
Lattice="8.471 0.000 0.000 0.000 4.300 0.000 -2.886 0.000 10.418" Properties=species:S:1:pos:R:3 comment="TlSnTe3Au, relaxed, DFT PBE" sg=P2_1/m pbc="T T T"
Tl 1.199 1.075 3.243
Tl 4.386 3.225 7.175
Sn 0.203 3.225 8.962
Sn 5.382 1.075 1.456
Te -1.900 1.075 8.807
Te 0.668 3.225 5.977
Te 3.200 3.225 1.490
Te 2.386 1.075 8.927
Te 4.918 1.075 4.441
Te 7.485 3.225 1.611
Au -1.154 1.075 6.097
Au 6.739 3.225 4.320

=====

[3]
3
Lattice="0.000 3.292 3.292 3.292 0.000 3.292 3.292 3.292 0.000" Properties=species:S:1:pos:R:3 comment="CdSnW, relaxed, DFT PBE" sg=F-43m pbc="T T T"
Cd 0.000 0.000 0.000
Sn 3.292 3.292 3.292
W 1.646 1.646 1.646

=====

[4]
11
Lattice="4.647 0.000 0.000 0.000 4.647 0.000 0.000 0.000 12.155" Properties=species:S:1:pos:R:3 comment="Gd2In8Ni, relaxed, DFT PBE" sg=P4/mmm pbc="T T T"
Gd 0.000 0.000 2.315
Gd 0.000 0.000 9.840
In 0.000 2.323 0.000
In 0.000 2.323 4.605
In 0.000 2.323 7.550
In 2.323 0.000 0.000
In 2.323 0.000 4.605
In 2.323 0.000 7.550
In 2.323 2.323 2.325
In 2.323 2.323 9.830
Ni 0.000 0.000 6.078

=====

[5]
12
Lattice="2.000 -6.954 0.000 2.000 6.954 0.000 0.000 0.000 10.647" Properties=species:S:1:pos:R:3 comment="ScCuTePbSe2, relaxed, DFT PBE" sg=Cmcm pbc="T T T"
Sc 0.000 0.000 0.000
Sc 0.000 0.000 5.323
Cu 2.000 0.491 7.985
Cu 2.000 -0.491 2.662
Te 2.000 5.724 7.985
Te 2.000 -5.724 2.662
Pb 2.000 3.924 2.662
Pb 2.000 -3.924 7.985
Se 2.000 1.805 5.917
Se 2.000 1.805 10.053
Se 2.000 -1.805 0.594
Se 2.000 -1.805 4.730

=====

[6]
24
Lattice="13.348 0.000 0.000 0.000 3.630 0.000 0.000 0.000 12.498" Properties=species:S:1:pos:R:3 comment="KTcAgSe3, relaxed, DFT PBE" sg=Pnma pbc="T T T"
K 2.798 0.908 0.977
K 3.876 2.723 7.226
K 9.473 0.908 5.272
K 10.550 2.723 11.521
Tc 0.587 0.908 4.525
Tc 6.087 2.723 10.774
Tc 7.261 0.908 1.724
Tc 12.762 2.723 7.974
Ag 1.942 0.908 9.826
Ag 4.733 2.723 3.577
Ag 8.616 0.908 8.921
Ag 11.407 2.723 2.672
Se 0.649 2.723 2.739
Se 0.991 0.908 7.068
Se 3.098 0.908 4.514
Se 3.576 2.723 10.763
Se 5.683 2.723 0.818
Se 6.026 0.908 8.988
Se 7.323 2.723 3.510
Se 7.665 0.908 11.680
Se 9.772 0.908 1.735
Se 10.251 2.723 7.984
Se 12.357 2.723 5.431
Se 12.700 0.908 9.760

=====

[7]
12
Lattice="8.221 0.000 0.000 0.000 4.146 0.000 -2.732 0.000 9.744" Properties=species:S:1:pos:R:3 comment="NaLuMgSe3, relaxed, DFT PBE" sg=P2_1/m pbc="T T T"
Na 1.067 1.036 1.736
Na 4.422 3.109 8.008
Lu 0.380 3.109 8.377
Lu 5.109 1.036 1.367
Mg -1.014 1.036 5.933
Mg 6.503 3.109 3.812
Se -1.591 1.036 8.390
Se 0.385 3.109 5.398
Se 3.214 3.109 1.431
Se 2.275 1.036 8.313
Se 5.103 1.036 4.347
Se 7.080 3.109 1.354

=====

[8]
10
Lattice="8.663 -1.926 0.000 8.663 1.926 0.000 -1.889 0.000 7.990" Properties=species:S:1:pos:R:3 comment="Pr2Dy2CCl5, relaxed, DFT PBE" sg=C2/m pbc="T T T"
Pr -0.502 0.000 2.281
Pr 15.939 0.000 5.709
Dy 5.393 0.000 3.370
Dy 10.043 0.000 4.619
C 7.718 0.000 3.995
Cl 1.384 0.000 6.539
Cl 2.368 0.000 2.886
Cl 8.663 0.000 0.000
Cl 13.068 0.000 5.103
Cl 14.052 0.000 1.451

=====

[9]
18
Lattice="8.441 -3.614 0.000 8.441 3.614 0.000 -3.485 0.000 9.597" Properties=species:S:1:pos:R:3 comment="Ba3Er2Cu2Te10Pt, relaxed, DFT PBE" sg=C2/m pbc="T T T"
Ba 0.000 0.000 0.000
Ba 0.648 0.000 5.526
Ba 12.749 0.000 4.071
Er 5.069 0.000 1.323
Er 8.328 0.000 8.274
Cu 4.062 0.000 7.095
Cu 9.334 0.000 2.502
Te 2.328 1.677 8.400
Te 7.099 1.805 2.772
Te 6.297 1.805 6.825
Te 3.989 0.000 4.400
Te 11.068 1.677 1.197
Te 2.328 -1.677 8.400
Te 9.407 0.000 5.197
Te 7.099 -1.805 2.772
Te 6.297 -1.805 6.825
Te 11.068 -1.677 1.197
Pt 6.698 0.000 4.798

=====

[10]
3
Lattice="0.000 3.295 3.295 3.295 0.000 3.295 3.295 3.295 0.000" Properties=species:S:1:pos:R:3 comment="ThMoAu, relaxed, DFT PBE" sg=F-43m delta_e_f_ev_per_atom=0.4720 pbc="T T T"
Th 0.000 0.000 0.000
Mo 4.943 4.943 4.943
Au 3.295 3.295 3.295

=====

[11]
3
Lattice="0.000 3.515 3.515 3.515 0.000 3.515 3.515 3.515 0.000" Properties=species:S:1:pos:R:3 comment="LaNpPd, relaxed, DFT PBE" sg=F-43m delta_e_f_ev_per_atom=0.0560 pbc="T T T"
La 0.000 0.000 0.000
Np 3.515 3.515 3.515
Pd 1.757 1.757 1.757

=====

[12]
8
Lattice="3.381 0.000 0.000 0.000 6.878 0.000 0.000 0.000 7.741" Properties=species:S:1:pos:R:3 comment="HfAsPO, relaxed, DFT PBE" sg=Pmc2_1 pbc="T T T"
Hf 0.000 1.485 0.000
Hf 0.000 5.393 3.870
As 1.691 1.076 4.060
As 1.691 5.801 0.190
P 0.000 0.631 2.471
P 0.000 6.247 6.341
O 1.691 2.437 7.478
O 1.691 4.441 3.607

=====

[13]
12
Lattice="9.957 -2.255 0.000 9.957 2.255 0.000 -2.177 0.000 9.294" Properties=species:S:1:pos:R:3 comment="PrTlHgTe3, relaxed, DFT PBE" sg=C2/m pbc="T T T"
Pr 3.247 0.000 0.857
Pr 14.489 0.000 8.436
Tl 1.350 0.000 5.398
Tl 16.386 0.000 3.896
Hg 7.485 0.000 7.224
Hg 10.251 0.000 2.069
Te 0.000 0.000 0.000
Te 4.795 0.000 6.185
Te 6.345 0.000 1.319
Te 8.868 0.000 4.647
Te 11.391 0.000 7.974
Te 12.941 0.000 3.109

=====

[14]
3
Lattice="0.000 3.138 3.138 3.138 0.000 3.138 3.138 3.138 0.000" Properties=species:S:1:pos:R:3 comment="PmReNi, relaxed, DFT PBE" sg=F-43m delta_e_f_ev_per_atom=0.6998 pbc="T T T"
Pm 0.000 0.000 0.000
Re 3.138 3.138 3.138
Ni 1.569 1.569 1.569

=====

[15]
6
Lattice="4.664 0.000 0.000 0.000 2.342 7.274 0.000 -2.342 7.274" Properties=species:S:1:pos:R:3 comment="TbTmTl4, relaxed, DFT PBE" sg=Amm2 pbc="T T T"
Tb 0.000 0.000 0.000
Tm 0.000 0.000 4.518
Tl 0.000 0.000 9.553
Tl 2.332 0.000 2.283
Tl 2.332 0.000 6.963
Tl 2.332 0.000 12.091

=====

[16]
8
Lattice="3.796 0.000 0.000 -1.898 3.287 0.000 0.000 0.000 13.934" Properties=species:S:1:pos:R:3 comment="HoEr3Te2C2, relaxed, DFT PBE" sg=P3m1 pbc="T T T"
Ho 0.000 0.000 0.000
Er 0.000 0.000 9.547
Er 1.898 1.096 2.581
Er 1.898 1.096 6.969
Te 0.000 0.000 4.774
Te 1.898 1.096 11.739
C 0.000 2.192 1.292
C 0.000 2.192 8.258

=====

[17]
8
Lattice="4.947 0.000 0.000 0.000 4.947 0.000 0.000 0.000 7.041" Properties=species:S:1:pos:R:3 comment="Li2La2In2CuAu, relaxed, DFT PBE" sg=P-4m2 pbc="T T T"
Li 0.000 0.000 0.000
Li 2.473 2.473 3.521
La 0.000 2.473 5.232
La 2.473 0.000 1.809
In 0.000 2.473 1.817
In 2.473 0.000 5.224
Cu 0.000 0.000 3.521
Au 2.473 2.473 0.000

=====

[18]
9
Lattice="5.179 0.000 0.000 2.539 4.740 0.000 0.091 2.901 4.949" Properties=species:S:1:pos:R:3 comment="Hg2Pd2O5, relaxed, DFT PBE" sg=P1 pbc="T T T"
Hg 0.000 0.000 0.000
Hg 3.261 4.684 3.329
Pd 3.310 1.532 1.415
Pd 5.888 3.161 1.297
O 1.617 1.614 0.245
O 2.255 2.869 2.519
O 4.112 3.058 0.268
O 5.338 4.669 2.461
O 4.912 1.855 2.562

=====

[19]
12
Lattice="2.481 1.432 8.049 -2.481 1.432 8.049 0.000 -2.865 8.049" Properties=species:S:1:pos:R:3 comment="Dy2HoFeCo6Ni2, relaxed, DFT PBE" sg=R-3m delta_e_f_ev_per_atom=-0.2133 pbc="T T T"
Dy 0.000 0.000 3.354
Dy 0.000 0.000 20.791
Ho 0.000 0.000 0.000
Fe 0.000 0.000 12.073
Co -1.247 -0.720 10.029
Co 0.000 -1.440 14.117
Co -1.247 0.720 14.117
Co 1.247 -0.720 10.029
Co 0.000 1.440 10.029
Co 1.247 0.720 14.117
Ni 0.000 0.000 8.055
Ni 0.000 0.000 16.091

=====

[20]
9
Lattice="4.786 0.000 0.000 -2.393 4.145 0.000 0.000 0.000 11.266" Properties=species:S:1:pos:R:3 comment="Li3Nd2SmSn3, relaxed, DFT PBE" sg=P-6m2 pbc="T T T"
Li 0.000 0.000 0.000
Li 0.000 2.763 3.515
Li 0.000 2.763 7.751
Nd 2.393 1.382 1.863
Nd 2.393 1.382 9.403
Sm 2.393 1.382 5.633
Sn 0.000 0.000 3.725
Sn 0.000 0.000 7.541
Sn 0.000 2.763 0.000

=====

[21]
3
Lattice="0.000 3.340 3.340 3.340 0.000 3.340 3.340 3.340 0.000" Properties=species:S:1:pos:R:3 comment="SmYFe, relaxed, DFT PBE" sg=F-43m delta_e_f_ev_per_atom=0.2480 pbc="T T T"
Sm 0.000 0.000 0.000
Y 3.340 3.340 3.340
Fe 1.670 1.670 1.670

=====

[22]
12
Lattice="2.724 -4.750 0.000 2.724 4.750 0.000 -1.779 0.000 4.826" Properties=species:S:1:pos:R:3 comment="Li4OsPbO6, relaxed, DFT PBE" sg=C2 pbc="T T T"
Li 0.000 0.000 0.000
Li 1.835 3.128 2.413
Li 1.835 0.215 2.413
Li 1.835 -3.279 2.413
Os 2.724 1.586 0.000
Pb 2.724 -1.563 0.000
O 1.090 1.521 1.110
O 0.096 0.205 3.655
O 0.744 -1.738 1.161
O 2.579 1.521 3.715
O 3.573 0.205 1.171
O 2.925 -1.738 3.664

=====

Number 1: VASP energy -6.5553 eV/atom. Number 2: VASP energy -3.3145 eV/atom. Number 3: VASP energy -5.0208 eV/atom. Number 4: VASP energy -3.6982 eV/atom. Number 5: VASP energy -4.7967 eV/atom. Number 6: VASP energy -4.4672 eV/atom. Number 7: VASP energy -4.4341 eV/atom. Number 8: VASP energy -5.4116 eV/atom. Number 9: VASP energy -4.2294 eV/atom. Number 10: VASP energy -6.7038 eV/atom. Number 11: VASP energy -7.5665 eV/atom. Number 12: VASP energy -7.5281 eV/atom. Number 13: VASP energy -3.4726 eV/atom. Number 14: VASP energy -6.8788 eV/atom. Number 15: VASP energy -3.3423 eV/atom. Number 16: VASP energy -6.2602 eV/atom. Number 17: VASP energy -3.7378 eV/atom. Number 18: VASP energy -4.1659 eV/atom. Number 19: VASP energy -6.5352 eV/atom. Number 20: VASP energy -4.1840 eV/atom. Number 21: VASP energy -6.2470 eV/atom. Number 22: VASP energy -5.8413 eV/atom.